Density functional theory data (GGA+U) for crystalline CsW2O7 at its relaxed geometry.

magnetization = 2.02 Bohr magnetons per cell
uncorrected energy = -6.69 eV/atom

Geometry as CIF:
```
data_CsW2O7
_chemical_formula_sum 'Cs2 W4 O14'
_cell_length_a 6.3658
_cell_length_b 10.7660
_cell_length_c 3.9284
_cell_angle_alpha 90.00
_cell_angle_beta 90.00
_cell_angle_gamma 90.00
_symmetry_space_group_name_H-M 'C m m m'
_symmetry_Int_Tables_number 65
_symmetry_space_group_name_Hall '-C 2 2'
loop_
_atom_site_label
_atom_site_type_symbol
_atom_site_fract_x
_atom_site_fract_y
_atom_site_fract_z
_atom_site_occupancy
Cs1 Cs 0.0000 0.0000 0.0000 1
W1 W 0.0000 0.3141 0.5000 1
O1 O 0.0000 0.3137 0.0000 1
O2 O 0.0000 0.5000 0.5000 1
O3 O 0.1851 0.1579 0.5000 1
```